Version w
Below is GePSeBr2 after structural relaxation, with properties calculated at the PBE-GGA level.

Structure (CIF):
```
data_GePSeBr2
_space_group_name_H-M_alt 'P 4/m m m'
_space_group_IT_number 123
_space_group_name_Hall '-P 4 2'
_cell_length_a 4.969
_cell_length_b 4.969
_cell_length_c 5.150
_cell_angle_alpha 90.00
_cell_angle_beta 90.00
_cell_angle_gamma 90.00
loop_
_atom_site_label
_atom_site_fract_x
_atom_site_fract_y
_atom_site_fract_z
Ge1 0.000 0.000 0.000
P1 0.500 0.500 0.500
Se1 0.500 0.500 0.000
Br1 0.000 0.500 0.500
```

- ρ: 4.47 g/cm3
- M_tot: 0.1 Bohr magnetons per cell
- V: 127 Å³ per cell

Version x
Below is GePSeBr2 after structural relaxation, with properties calculated at the PBE-GGA level.

Structure (CIF):
```
data_GePSeBr2
_space_group_name_H-M_alt 'P 4/m m m'
_space_group_IT_number 123
_space_group_name_Hall '-P 4 2'
_cell_length_a 5.160
_cell_length_b 5.160
_cell_length_c 5.367
_cell_angle_alpha 90.00
_cell_angle_beta 90.00
_cell_angle_gamma 90.00
loop_
_atom_site_label
_atom_site_fract_x
_atom_site_fract_y
_atom_site_fract_z
Ge1 0.000 0.000 0.000
P1 0.500 0.500 0.500
Se1 0.000 0.000 0.500
Br1 0.000 0.500 0.000
```

- ρ: 3.98 g/cm3
- M_tot: 1.6 Bohr magnetons per cell
- V: 143 Å³ per cell

Relative energy of each structure, in kJ/mol of atoms: version w 0.0; version x 23.8.

Version w
Below is Ge3PbBr after structural relaxation, with properties calculated at the PBE-GGA level.

Structure (CIF):
```
data_Ge3PbBr
_space_group_name_H-M_alt 'P m -3 m'
_space_group_IT_number 221
_space_group_name_Hall '-P 4 2 3'
_cell_length_a 5.238
_cell_length_b 5.238
_cell_length_c 5.238
_cell_angle_alpha 90.00
_cell_angle_beta 90.00
_cell_angle_gamma 90.00
loop_
_atom_site_label
_atom_site_fract_x
_atom_site_fract_y
_atom_site_fract_z
Ge1 0.000 0.000 0.500
Pb1 0.500 0.500 0.500
Br1 0.000 0.000 0.000
```

- ρ: 5.83 g/cm3
- M_tot: 0.0 Bohr magnetons per cell
- V: 144 Å³ per cell

Version x
Below is Ge3PbBr after structural relaxation, with properties calculated at the PBE-GGA level.

Structure (CIF):
```
data_Ge3PbBr
_space_group_name_H-M_alt 'P m -3 m'
_space_group_IT_number 221
_space_group_name_Hall '-P 4 2 3'
_cell_length_a 5.590
_cell_length_b 5.590
_cell_length_c 5.590
_cell_angle_alpha 90.00
_cell_angle_beta 90.00
_cell_angle_gamma 90.00
loop_
_atom_site_label
_atom_site_fract_x
_atom_site_fract_y
_atom_site_fract_z
Ge1 0.000 0.000 0.500
Pb1 0.000 0.000 0.000
Br1 0.500 0.500 0.500
```

- ρ: 4.80 g/cm3
- M_tot: 0.0 Bohr magnetons per cell
- V: 175 Å³ per cell

Relative energy of each structure, in kJ/mol of atoms: version w 0.0; version x 15.8.